# SrAg

A geometry-optimized SrAg structure (PBE-GGA, Alexandria).

Properties
Calculated volume   387 Å³ per cell
Energy of formation from the pure elements   -128 meV per atom
Magnetization   0.000 μB per atom
Total DFT energy (no corrections)   -28.738 eV/cell
Fermi-level density of states   8.25 states/eV per cell

a = 14.0878 Å, b = 3.9180 Å, c = 7.7398 Å
α = 90.00°, β = 114.96°, γ = 90.00°
With the nearest neighbours (Å) after each atom.
Space group Cm (No. 8)
Inequivalent atoms, fractional coordinates:
Sr 0.0000 0.0000 0.0000 (multiplicity 2)  6 Ag 3.27-3.65
Sr 0.0481 0.0000 0.5492 (multiplicity 2)  5 Ag 3.23-3.47
Sr 0.2590 0.5000 0.4031 (multiplicity 2)  5 Ag 3.31-3.40
Ag 0.1988 0.5000 0.9284 (multiplicity 2)  4 Ag 2.96-3.09
Ag 0.3000 0.0000 0.7722 (multiplicity 2)  3 Ag 2.94-2.96, 3 Sr 3.23-3.27
Ag 0.3690 0.0000 0.1882 (multiplicity 2)  3 Ag 2.94-3.09

# Sr3Ag

A geometry-optimized Sr3Ag structure (PBE-GGA, Alexandria).

Properties
Calculated volume   186 Å³ per cell
Offset from the most stable computed form   158 meV/atom
Energy of formation from the pure elements   -17 meV per atom
Magnetization   0.000 μB per atom
Total DFT energy (no corrections)   -7.964 eV/cell
Fermi-level density of states   4.40 states/eV per cell

a = 4.1084 Å, b = 4.1818 Å, c = 10.7975 Å
α = 90.00°, β = 90.00°, γ = 90.00°
With the nearest neighbours (Å) after each atom.
Space group Pmm2 (No. 25)
Inequivalent atoms, fractional coordinates:
Sr 0.0000 0.0000 0.0000 (multiplicity 1)  10 Sr 4.11-4.33
Sr 0.0000 0.5000 0.3434 (multiplicity 1)  4 Ag 3.26
Sr 0.5000 0.5000 0.7045 (multiplicity 1)  2 Ag 3.23
Ag 0.5000 0.0000 0.4760 (multiplicity 1)  6 Sr 3.23-3.26

# SrAg5

A geometry-optimized SrAg5 structure (PBE-GGA, Alexandria).

Properties
Calculated volume   263 Å³ per cell
Energy of formation from the pure elements   -30 meV per atom
Magnetization   0.000 μB per atom
Total DFT energy (no corrections)   -32.234 eV/cell
Fermi-level density of states   3.10 states/eV per cell

a = 5.2446 Å, b = 9.8895 Å, c = 5.0696 Å
α = 90.00°, β = 90.00°, γ = 90.00°
With the nearest neighbours (Å) after each atom.
Space group Cmmm (No. 65)
Inequivalent atoms, fractional coordinates:
Sr 0.0000 0.0000 0.0000 (multiplicity 2)  10 Ag 3.11-3.27
Ag 0.0000 0.2019 0.5000 (multiplicity 4)  5 Ag 2.79-2.95
Ag 0.0000 0.3307 0.0000 (multiplicity 4)  6 Ag 2.84-3.07, 2 Sr 3.11
Ag 0.0000 0.5000 0.5000 (multiplicity 2)  10 Ag 2.95-3.30

# Sr2Ag

A geometry-optimized Sr2Ag structure (PBE-GGA, Alexandria).

Properties
Calculated volume   132 Å³ per cell
Offset from the most stable computed form   90 meV/atom
Energy of formation from the pure elements   -125 meV per atom
Magnetization   0.000 μB per atom
Total DFT energy (no corrections)   -6.589 eV/cell
Fermi-level density of states   3.64 states/eV per cell

a = 4.5969 Å, b = 4.5969 Å, c = 7.2010 Å
α = 90.00°, β = 90.00°, γ = 120.00°
With the nearest neighbours (Å) after each atom.
Space group P-3m1 (No. 164)
Inequivalent atoms, fractional coordinates:
Sr 0.3333 0.6667 0.2502 (multiplicity 2)  3 Ag 3.21
Ag 0.0000 0.0000 0.0000 (multiplicity 1)  6 Sr 3.21

# SrAg2

A geometry-optimized SrAg2 structure (PBE-GGA, Alexandria).

Properties
Calculated volume   323 Å³ per cell
Energy of formation from the pure elements   -164 meV per atom
Magnetization   0.000 μB per atom
Total DFT energy (no corrections)   -31.503 eV/cell
Fermi-level density of states   5.07 states/eV per cell

a = 6.3951 Å, b = 5.7773 Å, c = 8.7506 Å
α = 90.00°, β = 90.00°, γ = 90.00°
With the nearest neighbours (Å) after each atom.
Space group Pnma (No. 62)
Inequivalent atoms, fractional coordinates:
Sr 0.2162 0.2500 0.1009 (multiplicity 4)  9 Ag 3.14-3.50
Ag 0.0336 0.7500 0.2546 (multiplicity 4)  4 Ag 2.87-3.20
Ag 0.2112 0.2500 0.4710 (multiplicity 4)  2 Ag 2.87-2.97, 2 Sr 3.14

# Sr3Ag2

A geometry-optimized Sr3Ag2 structure (PBE-GGA, Alexandria).

Properties
Calculated volume   1621 Å³ per cell
Offset from the most stable computed form   0 meV/atom
Energy of formation from the pure elements   -267 meV per atom
Magnetization   0.000 μB per atom
Total DFT energy (no corrections)   -108.727 eV/cell
Fermi-level density of states   30.20 states/eV per cell

a = 9.9940 Å, b = 9.9940 Å, c = 18.7428 Å
α = 90.00°, β = 90.00°, γ = 120.00°
With the nearest neighbours (Å) after each atom.
Space group R-3 (No. 148, hexagonal axes)
Inequivalent atoms, fractional coordinates:
Sr 0.0000 0.0000 0.0000 (multiplicity 3)  6 Ag 3.42
Sr 0.0000 0.0000 0.2056 (multiplicity 6)  6 Ag 3.27-3.41
Sr 0.0152 0.7578 0.5942 (multiplicity 18)  4 Ag 3.35-3.47
Ag 0.0255 0.4210 0.5635 (multiplicity 18)  1 Ag 3.04, 3 Sr 3.27-3.37

# SrAg

A geometry-optimized SrAg structure (PBE-GGA, Alexandria).

Properties
Calculated volume   249 Å³ per cell
Energy of formation from the pure elements   -110 meV per atom
Magnetization   0.000 μB per atom
Total DFT energy (no corrections)   -19.012 eV/cell
Fermi-level density of states   6.03 states/eV per cell

a = 4.6433 Å, b = 4.6433 Å, c = 11.5603 Å
α = 90.00°, β = 90.00°, γ = 90.00°
With the nearest neighbours (Å) after each atom.
Space group I4_1/amd (No. 141, origin choice 2)
Inequivalent atoms, fractional coordinates:
Sr 0.0000 0.2500 0.3750 (multiplicity 4)  4 Ag 3.28
Ag 0.0000 0.2500 0.8750 (multiplicity 4)  4 Sr 3.28

# Sr2Ag

A geometry-optimized Sr2Ag structure (PBE-GGA, Alexandria).

Properties
Calculated volume   461 Å³ per cell
Offset from the most stable computed form   14 meV/atom
Energy of formation from the pure elements   -201 meV per atom
Magnetization   0.000 μB per atom
Total DFT energy (no corrections)   -27.269 eV/cell
Fermi-level density of states   11.37 states/eV per cell

a = 7.9736 Å, b = 7.9736 Å, c = 7.2537 Å
α = 90.00°, β = 90.00°, γ = 90.00°
With the nearest neighbours (Å) after each atom.
Space group I4/mcm (No. 140)
Inequivalent atoms, fractional coordinates:
Sr 0.1784 0.3216 0.0000 (multiplicity 8)  4 Ag 3.45
Ag 0.0000 0.0000 0.2500 (multiplicity 4)  8 Sr 3.45, 2 Ag 3.63

# SrAg

A geometry-optimized SrAg structure (PBE-GGA, Alexandria).

Properties
Calculated volume   149 Å³ per cell
Energy of formation from the pure elements   -46 meV per atom
Magnetization   0.000 μB per atom
Total DFT energy (no corrections)   -9.251 eV/cell
Fermi-level density of states   1.91 states/eV per cell

a = 4.3905 Å, b = 4.3905 Å, c = 8.9439 Å
α = 90.00°, β = 90.00°, γ = 120.00°
With the nearest neighbours (Å) after each atom.
Space group P-3m1 (No. 164)
Inequivalent atoms, fractional coordinates:
Sr 0.3333 0.6667 0.2000 (multiplicity 2)  4 Ag 3.24-3.35
Ag 0.3333 0.6667 0.5745 (multiplicity 2)  3 Ag 2.86

# Sr2Ag

A geometry-optimized Sr2Ag structure (PBE-GGA, Alexandria).

Properties
Calculated volume   3673 Å³ per cell
Offset from the most stable computed form   51 meV/atom
Energy of formation from the pure elements   -163 meV per atom
Magnetization   0.031 μB per atom
Total DFT energy (no corrections)   -214.556 eV/cell
Fermi-level density of states   63.14 states/eV per cell

a = 15.4285 Å, b = 15.4285 Å, c = 15.4285 Å
α = 90.00°, β = 90.00°, γ = 90.00°
With the nearest neighbours (Å) after each atom.
Space group Fd-3m (No. 227, origin choice 2)
Inequivalent atoms, fractional coordinates:
Sr 0.0000 0.0000 0.0000 (multiplicity 16)  6 Ag 3.50
Sr 0.0649 0.3750 0.8750 (multiplicity 48)  2 Ag 3.35
Ag 0.0262 0.0262 0.2238 (multiplicity 32)  6 Sr 3.35-3.50

# Sr7Ag

A geometry-optimized Sr7Ag structure (PBE-GGA, Alexandria).

Properties
Calculated volume   1554 Å³ per cell
Energy of formation from the pure elements   61 meV per atom
Magnetization   0.000 μB per atom
Total DFT energy (no corrections)   -56.529 eV/cell
Fermi-level density of states   30.13 states/eV per cell

a = 11.5827 Å, b = 11.5827 Å, c = 11.5827 Å
α = 90.00°, β = 90.00°, γ = 90.00°
With the nearest neighbours (Å) after each atom.
Space group Fm-3m (No. 225)
Inequivalent atoms, fractional coordinates:
Sr 0.0000 0.0000 0.0000 (multiplicity 4)  12 Sr 4.10
Sr 0.0000 0.2500 0.2500 (multiplicity 24)  10 Sr 4.10, 2 Ag 4.10
Ag 0.0000 0.0000 0.5000 (multiplicity 4)  12 Sr 4.10

# Sr2Ag

A geometry-optimized Sr2Ag structure (PBE-GGA, Alexandria).

Properties
Calculated volume   106 Å³ per cell
Offset from the most stable computed form   461 meV/atom
Energy of formation from the pure elements   247 meV per atom
Magnetization   0.000 μB per atom
Total DFT energy (no corrections)   -5.474 eV/cell
Fermi-level density of states   2.89 states/eV per cell

a = 5.8306 Å, b = 5.8306 Å, c = 3.5876 Å
α = 90.00°, β = 90.00°, γ = 120.00°
With the nearest neighbours (Å) after each atom.
Space group P6/mmm (No. 191)
Inequivalent atoms, fractional coordinates:
Sr 0.3333 0.6667 0.0000 (multiplicity 2)  5 Sr 3.37-3.59
Ag 0.0000 0.0000 0.5000 (multiplicity 1)  2 Ag 3.59, 12 Sr 3.81

Question: total DFT energy (no corrections) of number 4 (Sr2Ag)?
Answer: -6.589 eV/cell

Question: Look up the energy of formation from the pure elements of the second one.
Answer: -17 meV per atom

Question: Which value of Fermi-level density of states does entry 12 give?
Answer: 2.89 states/eV per cell

Question: The lowest total DFT energy (no corrections) belongs to which entry?
Answer: number 10